The following is a PBE calculation of a relaxed structure of Ca8Zn2Au, from the Alexandria database.

```
11
Lattice="5.274 0.000 0.000 0.000 7.292 0.174 -2.637 -2.918 8.994" Properties=species:S:1:pos:R:3 pbc="T T T"
Ca 2.637 3.276 5.369
Au 2.637 0.000 0.000
Ca 2.637 6.110 3.098
Ca 2.637 2.669 1.756
Ca 0.000 1.704 7.413
Ca 0.000 5.605 0.694
Zn 2.637 0.222 5.715
Ca 0.000 1.098 3.800
Zn 0.000 4.151 3.454
Ca 2.637 -1.231 8.475
Ca 0.000 -1.737 6.071
```

Values from the calculation:
Space group   C2/m, No. 12
Energy of formation from the pure elements   -233 meV/atom
E above lowest polymorph   0 meV/atom